# CaOs2Au, relaxed, DFT GGA-PBE
# **Magnetic moment**: 0.00 μB per formula unit
# **Symmetry**: No. 119
# **E_form**: 2.30 eV per formula unit
# **Energy above the lowest structure with this stoichiometry**: 386 meV per atom
data_CaOs2Au
_chemical_formula_sum 'Ca1 Os2 Au1'
_cell_length_a 4.841
_cell_length_b 4.841
_cell_length_c 4.841
_cell_angle_alpha 127.84
_cell_angle_beta 127.84
_cell_angle_gamma 76.88
_space_group_name_H-M_alt 'P 1'
_space_group_IT_number 1
loop_
_space_group_symop_operation_xyz
'x,y,z'
loop_
_atom_site_label
_atom_site_type_symbol
_atom_site_fract_x
_atom_site_fract_y
_atom_site_fract_z
_atom_site_occupancy
Os1 Os 0.000 0.000 0.000 1
Os2 Os 0.250 0.750 0.500 1
Ca1 Ca 0.750 0.250 0.500 1
Au1 Au 0.500 0.500 0.000 1

# KY2Cd, relaxed, DFT GGA-PBE
# **Magnetic moment**: 0.48 μB per formula unit
# **Symmetry**: No. 44
# **E_form**: 1.08 eV per formula unit
data_KY2Cd
_chemical_formula_sum 'K1 Y2 Cd1'
_cell_length_a 6.997
_cell_length_b 6.997
_cell_length_c 6.997
_cell_angle_alpha 148.94
_cell_angle_beta 130.80
_cell_angle_gamma 59.34
_space_group_name_H-M_alt 'P 1'
_space_group_IT_number 1
loop_
_space_group_symop_operation_xyz
'x,y,z'
loop_
_atom_site_label
_atom_site_type_symbol
_atom_site_fract_x
_atom_site_fract_y
_atom_site_fract_z
_atom_site_occupancy
Cd1 Cd 0.513 0.513 0.000 1
K1 K 0.281 0.781 0.500 1
Y1 Y 0.989 0.989 0.000 1
Y2 Y 0.717 0.217 0.500 1

# Ba4LiY3Te8, relaxed, DFT GGA-PBE
# **Magnetic moment**: 0.00 μB per formula unit
# **VASP energy**: -78.479 eV per cell
# **Symmetry**: No. 166
data_Ba4LiY3Te8
_chemical_formula_sum 'Ba4 Li1 Y3 Te8'
_cell_length_a 9.243
_cell_length_b 9.405
_cell_length_c 9.244
_cell_angle_alpha 119.43
_cell_angle_beta 120.00
_cell_angle_gamma 90.00
_space_group_name_H-M_alt 'P 1'
_space_group_IT_number 1
loop_
_space_group_symop_operation_xyz
'x,y,z'
loop_
_atom_site_label
_atom_site_type_symbol
_atom_site_fract_x
_atom_site_fract_y
_atom_site_fract_z
_atom_site_occupancy
Ba1 Ba 0.500 0.000 0.000 1
Ba2 Ba 0.500 0.000 0.500 1
Ba3 Ba 0.000 0.000 0.000 1
Ba4 Ba 0.000 0.000 0.500 1
Li1 Li 0.000 0.500 0.000 1
Y1 Y 0.500 0.500 0.000 1
Y2 Y 0.500 0.500 0.500 1
Y3 Y 0.000 0.500 0.500 1
Te1 Te 0.238 0.713 0.975 1
Te2 Te 0.238 0.713 0.476 1
Te3 Te 0.261 0.284 0.522 1
Te4 Te 0.737 0.713 0.975 1
Te5 Te 0.263 0.287 0.025 1
Te6 Te 0.739 0.716 0.478 1
Te7 Te 0.762 0.287 0.524 1
Te8 Te 0.762 0.287 0.025 1

# GdSc2, relaxed, DFT GGA-PBE
# **Magnetic moment**: 7.17 μB per formula unit
# **Symmetry**: No. 139
# **E_form**: 0.18 eV per formula unit
# **Energy above the lowest structure with this stoichiometry**: 0 meV per atom
data_GdSc2
_chemical_formula_sum 'Gd1 Sc2'
_cell_length_a 3.392
_cell_length_b 3.392
_cell_length_c 7.428
_cell_angle_alpha 103.20
_cell_angle_beta 103.20
_cell_angle_gamma 90.00
_space_group_name_H-M_alt 'P 1'
_space_group_IT_number 1
loop_
_space_group_symop_operation_xyz
'x,y,z'
loop_
_atom_site_label
_atom_site_type_symbol
_atom_site_fract_x
_atom_site_fract_y
_atom_site_fract_z
_atom_site_occupancy
Sc1 Sc 0.673 0.673 0.346 1
Sc2 Sc 0.327 0.327 0.654 1
Gd1 Gd 0.000 0.000 0.000 1

# KBe2Se, relaxed, DFT GGA-PBE
# **Magnetic moment**: 0.00 μB per formula unit
# **VASP energy**: -9.829 eV per cell
# **Symmetry**: No. 65
data_KBe2Se
_chemical_formula_sum 'K1 Be2 Se1'
_cell_length_a 3.327
_cell_length_b 3.327
_cell_length_c 7.349
_cell_angle_alpha 90.00
_cell_angle_beta 90.00
_cell_angle_gamma 93.20
_space_group_name_H-M_alt 'P 1'
_space_group_IT_number 1
loop_
_space_group_symop_operation_xyz
'x,y,z'
loop_
_atom_site_label
_atom_site_type_symbol
_atom_site_fract_x
_atom_site_fract_y
_atom_site_fract_z
_atom_site_occupancy
Be1 Be 0.000 0.000 0.895 1
Be2 Be 0.000 0.000 0.605 1
K1 K 0.500 0.500 0.250 1
Se1 Se 0.500 0.500 0.750 1

# PmThCl6, relaxed, DFT GGA-PBE
# **Magnetic moment**: 0.94 μB per formula unit
# **VASP energy**: -39.541 eV per cell
# **Symmetry**: No. 148
data_PmThCl6
_chemical_formula_sum 'Pm1 Th1 Cl6'
_cell_length_a 7.737
_cell_length_b 7.736
_cell_length_c 7.745
_cell_angle_alpha 60.04
_cell_angle_beta 60.04
_cell_angle_gamma 60.02
_space_group_name_H-M_alt 'P 1'
_space_group_IT_number 1
loop_
_space_group_symop_operation_xyz
'x,y,z'
loop_
_atom_site_label
_atom_site_type_symbol
_atom_site_fract_x
_atom_site_fract_y
_atom_site_fract_z
_atom_site_occupancy
Pm1 Pm 0.500 0.500 0.500 1
Th1 Th 0.000 0.000 0.000 1
Cl1 Cl 0.257 0.241 0.751 1
Cl2 Cl 0.752 0.256 0.751 1
Cl3 Cl 0.760 0.248 0.249 1
Cl4 Cl 0.248 0.744 0.249 1
Cl5 Cl 0.743 0.759 0.249 1
Cl6 Cl 0.240 0.752 0.751 1

# Rb3Dy2InTe6, relaxed, DFT GGA-PBE
# **Magnetic moment**: 0.00 μB per formula unit
# **VASP energy**: -46.894 eV per cell
# **Symmetry**: No. 12
data_Rb3Dy2InTe6
_chemical_formula_sum 'Rb3 Dy2 In1 Te6'
_cell_length_a 7.823
_cell_length_b 7.823
_cell_length_c 8.949
_cell_angle_alpha 98.39
_cell_angle_beta 98.39
_cell_angle_gamma 119.98
_space_group_name_H-M_alt 'P 1'
_space_group_IT_number 1
loop_
_space_group_symop_operation_xyz
'x,y,z'
loop_
_atom_site_label
_atom_site_type_symbol
_atom_site_fract_x
_atom_site_fract_y
_atom_site_fract_z
_atom_site_occupancy
Rb1 Rb 0.168 0.832 0.500 1
Rb2 Rb 0.832 0.168 0.500 1
Rb3 Rb 0.500 0.500 0.500 1
Dy1 Dy 0.334 0.666 0.000 1
Dy2 Dy 0.666 0.334 0.000 1
In1 In 0.000 0.000 0.000 1
Te1 Te 0.935 0.607 0.804 1
Te2 Te 0.738 0.738 0.197 1
Te3 Te 0.065 0.393 0.196 1
Te4 Te 0.607 0.935 0.804 1
Te5 Te 0.262 0.262 0.803 1
Te6 Te 0.393 0.065 0.196 1

# CrCoHgRh2, relaxed, DFT GGA-PBE
# **Magnetic moment**: 3.25 μB per formula unit
# **Symmetry**: No. 123
# **E_form**: 6.25 eV per formula unit
data_CrCoHgRh2
_chemical_formula_sum 'Cr1 Co1 Hg1 Rh2'
_cell_length_a 4.381
_cell_length_b 5.014
_cell_length_c 4.381
_cell_angle_alpha 90.00
_cell_angle_beta 90.00
_cell_angle_gamma 90.00
_space_group_name_H-M_alt 'P 1'
_space_group_IT_number 1
loop_
_space_group_symop_operation_xyz
'x,y,z'
loop_
_atom_site_label
_atom_site_type_symbol
_atom_site_fract_x
_atom_site_fract_y
_atom_site_fract_z
_atom_site_occupancy
Co1 Co 0.500 0.500 0.500 1
Rh1 Rh 0.000 0.000 0.500 1
Rh2 Rh 0.500 0.000 0.000 1
Hg1 Hg 0.000 0.500 0.000 1
Cr1 Cr 0.000 0.000 0.000 1